[1]
Here is a relaxed NbFe3O crystal from Alexandria. Energies are from PBE+U.

Cell: 4.210 4.210 4.210 Å, 90.00 90.00 90.00°
Space group Pm-3m (No. 221)
Symmetry-distinct sites (fractional):
1 Nb 0.000 0.000 0.000 x1
2 Fe 0.000 0.500 0.500 x3
3 O 0.500 0.500 0.500 x1

Properties
For the energy above the most stable polymorph in this dataset, the calculation gives 0.0 meV/atom. The total energy is -30.7 eV per cell.

---

[2]
Here is a relaxed Nb3FeO crystal from Alexandria. Energies are from PBE+U.

Cell: 4.260 4.260 4.260 Å, 90.00 90.00 90.00°
Space group Pm-3m (No. 221)
Symmetry-distinct sites (fractional):
1 Nb 0.000 0.000 0.500 x3
2 Fe 0.500 0.500 0.500 x1
3 O 0.000 0.000 0.000 x1

Properties
For the energy above the most stable polymorph in this dataset, the calculation gives 0.0 meV/atom. The total energy is -42.6 eV per cell.

---

[3]
Here is a relaxed NbFeO4 crystal from Alexandria. Energies are from PBE+U.

Cell: 4.705 5.701 10.199 Å, 90.00 90.30 90.00°
Space group P2 (No. 3)
Symmetry-distinct sites (fractional):
1 Nb 0.000 0.000 0.000 x1
2 Nb 0.004 0.646 0.754 x2
3 Nb 0.500 0.464 0.500 x1
4 Fe 0.000 0.980 0.500 x1
5 Fe 0.499 0.141 0.747 x2
6 Fe 0.500 0.474 0.000 x1
7 O 0.217 0.925 0.669 x2
8 O 0.225 0.697 0.915 x2
9 O 0.229 0.928 0.161 x2
10 O 0.234 0.692 0.416 x2
11 O 0.265 0.428 0.665 x2
12 O 0.269 0.198 0.916 x2
13 O 0.274 0.436 0.168 x2
14 O 0.277 0.199 0.416 x2

Properties
The total energy is -192.1 eV per cell.

---

[4]
Here is a relaxed NbFe2OsO crystal from Alexandria. Energies are from PBE+U.

Cell: 5.015 5.015 3.626 Å, 90.00 90.00 90.00°
Space group P4/mmm (No. 123)
Symmetry-distinct sites (fractional):
1 Nb 0.000 0.000 0.000 x1
2 Fe 0.000 0.500 0.500 x2
3 Os 0.500 0.500 0.500 x1
4 O 0.500 0.500 0.000 x1

Properties
The total energy is -33.1 eV per cell.

---

[5]
Here is a relaxed NbFePO2 crystal from Alexandria. Energies are from PBE+U.

Cell: 3.723 3.723 4.969 Å, 90.00 90.00 90.00°
Space group P4/mmm (No. 123)
Symmetry-distinct sites (fractional):
1 Nb 0.000 0.000 0.000 x1
2 Fe 0.500 0.500 0.500 x1
3 P 0.500 0.500 0.000 x1
4 O 0.000 0.500 0.500 x2

Properties
For the energy above the most stable polymorph in this dataset, the calculation gives 637.9 meV/atom. The total energy is -32.6 eV per cell.

---

[6]
Here is a relaxed NbFeP2O crystal from Alexandria. Energies are from PBE+U.

Cell: 4.633 4.633 3.517 Å, 90.00 90.00 90.00°
Space group P4/mmm (No. 123)
Symmetry-distinct sites (fractional):
1 Nb 0.000 0.000 0.000 x1
2 Fe 0.500 0.500 0.500 x1
3 P 0.000 0.500 0.500 x2
4 O 0.500 0.500 0.000 x1

Properties
For the energy above the most stable polymorph in this dataset, the calculation gives 281.1 meV/atom. The total energy is -30.4 eV per cell.

---

| no. | density of states at the Fermi level (states/eV per cell) |
| --- | --- |
| 1 | 2.65 |
| 2 | 4.44 |
| 3 | 0.00 |
| 4 | 3.32 |
| 5 | 3.32 |
| 6 | 3.28 |